This record from Alexandria via LeMat-Bulk describes a relaxed Sm2GaFe crystal. The functional is PBE.

a b c (Å): 3.5696 3.5696 7.1796
angles (deg): 90.00 90.00 90.00
Each line ends with the local moment (μB).
Atoms (fractional coordinates):
Sm1 0.0000 0.0000 0.2343  -0.23
Sm2 0.0000 0.0000 0.7657  -0.23
Fe1 0.5000 0.5000 0.0000  2.19
Ga1 0.5000 0.5000 0.5000  0.00

Properties
Offset from the most stable computed form (eV per atom): 0.0000
Calculated formation energy (meV per atom): -141
Total magnetic moment (μB per cell): 1.434
DOS at the Fermi energy (states/eV/cell): 5.9